Tb6Y5, optimized geometry, DFT GGA-PBE; space-group type = C2/m (12); spin magnetization = 0.00 μB per formula unit; DFT total energy = -5.322 eV/atom; distance to the lowest polymorph of the same formula = 28 meV/atom
1.0
4.5599 -6.5714 0.0000
4.5599 6.5714 0.0000
-1.9308 0.0000 6.0229
Tb Y
6 5
Direct
0.0468 0.3106 0.6679
0.1663 0.1663 0.1831
0.3106 0.0468 0.6679
0.6894 0.9532 0.3321
0.8337 0.8337 0.8169
0.9532 0.6894 0.3321
0.2401 0.7599 0.0000
0.3714 0.6286 0.5000
0.5000 0.5000 0.0000
0.6286 0.3714 0.5000
0.7599 0.2401 0.0000

---

NbSb2TeP, optimized geometry, DFT GGA-PBE; space-group type = P4/mmm (123); spin magnetization = 0.00 μB per formula unit; DFT total energy = -4.419 eV/atom; distance to the lowest polymorph of the same formula = 210 meV/atom
1.0
5.0010 0.0000 0.0000
0.0000 5.0010 0.0000
0.0000 0.0000 5.1702
Nb Sb Te P
1 2 1 1
Direct
0.0000 0.0000 0.0000
0.0000 0.5000 0.5000
0.5000 0.0000 0.5000
0.5000 0.5000 0.0000
0.5000 0.5000 0.5000

---

Tb5ErTlIn2, optimized geometry, DFT GGA-PBE; space-group type = I4/mcm (140); spin magnetization = 0.00 μB per formula unit; DFT total energy = -4.013 eV/atom
1.0
-4.2779 4.2779 7.1921
4.2779 -4.2779 7.1921
4.2779 4.2779 -7.1921
Tb Er Tl In
10 2 2 4
Direct
0.0000 0.0000 0.0000
0.0748 0.5748 0.9167
0.1581 0.0748 0.5000
0.3419 0.8419 0.9167
0.4252 0.3419 0.5000
0.5000 0.5000 0.0000
0.5748 0.6581 0.5000
0.6581 0.1581 0.0833
0.8419 0.9252 0.5000
0.9252 0.4252 0.0833
0.2500 0.7500 0.5000
0.7500 0.2500 0.5000
0.2500 0.2500 0.0000
0.7500 0.7500 0.0000
0.1106 0.3894 0.5000
0.3894 0.8894 0.2788
0.6106 0.1106 0.7212
0.8894 0.6106 0.5000

---

TlZnCo2, optimized geometry, DFT GGA-PBE; space-group type = C2/m (12); spin magnetization = 2.22 μB per formula unit; DFT total energy = -4.055 eV/atom; distance to the lowest polymorph of the same formula = 110 meV/atom
1.0
4.1438 -1.4578 0.0000
4.1438 1.4578 0.0000
-1.0742 0.0000 5.0566
Tl Zn Co
1 1 2
Direct
0.0000 0.0000 0.0000
0.5000 0.5000 0.5000
0.2449 0.2449 0.6933
0.7551 0.7551 0.3067

---

GdSnRh, optimized geometry, DFT GGA-PBE; space-group type = P-6m2 (187); spin magnetization = 7.04 μB per formula unit; DFT total energy = -9.222 eV/atom
1.0
4.6806 0.0000 0.0000
-2.3403 4.0535 0.0000
0.0000 0.0000 3.4926
Gd Sn Rh
1 1 1
Direct
0.0000 0.0000 0.0000
0.6667 0.3333 0.5000
0.3333 0.6667 0.5000

---

Tb4SmMg, optimized geometry, DFT GGA-PBE; space-group type = Cmc2_1 (36); spin magnetization = 0.00 μB per formula unit; DFT total energy = -4.122 eV/atom; distance to the lowest polymorph of the same formula = 33 meV/atom
1.0
2.7420 -6.0473 0.0000
2.7420 6.0473 0.0000
0.0000 0.0000 11.2011
Tb Sm Mg
8 2 2
Direct
0.0014 0.9986 0.5000
0.1813 0.8187 0.2476
0.3254 0.6746 0.9686
0.4802 0.5198 0.2460
0.5198 0.4802 0.7460
0.6746 0.3254 0.4686
0.8187 0.1813 0.7476
0.9986 0.0014 0.0000
0.3233 0.6767 0.5277
0.6767 0.3233 0.0277
0.1530 0.8470 0.7505
0.8470 0.1530 0.2505

---

Tm3Sn2Rh, optimized geometry, DFT GGA-PBE; space-group type = Pnma (62); spin magnetization = 0.00 μB per formula unit; DFT total energy = -5.576 eV/atom
1.0
12.2152 0.0000 0.0000
0.0000 4.3376 0.0000
0.0000 0.0000 11.4413
Tm Sn Rh
12 8 4
Direct
0.0527 0.2500 0.1296
0.1219 0.7500 0.5451
0.2439 0.2500 0.7873
0.2561 0.7500 0.2873
0.3781 0.2500 0.0451
0.4473 0.7500 0.6296
0.5527 0.2500 0.3704
0.6219 0.7500 0.9549
0.7439 0.2500 0.7127
0.7561 0.7500 0.2127
0.8781 0.2500 0.4549
0.9473 0.7500 0.8704
0.0065 0.2500 0.6922
0.1860 0.7500 0.9986
0.3140 0.2500 0.4986
0.4935 0.7500 0.1922
0.5065 0.2500 0.8078
0.6859 0.7500 0.5014
0.8141 0.2500 0.0014
0.9935 0.7500 0.3078
0.1260 0.2500 0.3683
0.3740 0.7500 0.8683
0.6260 0.2500 0.1317
0.8740 0.7500 0.6317

---

PmHoHg, optimized geometry, DFT GGA-PBE; space-group type = P4/nmm (129); spin magnetization = 0.00 μB per formula unit; DFT total energy = -3.508 eV/atom; distance to the lowest polymorph of the same formula = 4 meV/atom
1.0
4.8264 0.0000 0.0000
0.0000 4.8264 0.0000
0.0000 0.0000 7.6814
Pm Ho Hg
2 2 2
Direct
0.2500 0.2500 0.1363
0.7500 0.7500 0.8637
0.2500 0.7500 0.5000
0.7500 0.2500 0.5000
0.2500 0.2500 0.7485
0.7500 0.7500 0.2515

---

RbB2PN, optimized geometry, DFT GGA-PBE; space-group type = P4/mmm (123); spin magnetization = 0.89 μB per formula unit; DFT total energy = -1.561 eV/atom
1.0
5.6862 0.0000 0.0000
0.0000 5.6862 0.0000
0.0000 0.0000 6.1528
Rb B P N
1 2 1 1
Direct
0.0000 0.0000 0.0000
0.0000 0.5000 0.0000
0.5000 0.0000 0.0000
0.0000 0.0000 0.5000
0.5000 0.5000 0.5000

---

Hg2SbRu, optimized geometry, DFT GGA-PBE; space-group type = Cmmm (65); spin magnetization = 1.25 μB per formula unit; DFT total energy = -2.982 eV/atom
1.0
2.1791 -2.1983 0.0000
2.1791 2.1983 0.0000
0.0000 0.0000 9.1524
Hg Sb Ru
2 1 1
Direct
0.0000 0.0000 0.2048
0.0000 0.0000 0.7952
0.5000 0.5000 0.5000
0.5000 0.5000 0.0000

---

Ti2NbOs, optimized geometry, DFT GGA-PBE; space-group type = I-42d (122); spin magnetization = 0.00 μB per formula unit; DFT total energy = -9.063 eV/atom
1.0
-3.5903 3.5903 2.7153
3.5903 -3.5903 2.7153
3.5903 3.5903 -2.7153
Ti Nb Os
4 2 2
Direct
0.0943 0.1250 0.4693
0.3750 0.9057 0.0307
0.6557 0.6250 0.5307
0.8750 0.3443 0.9693
0.2500 0.7500 0.5000
0.5000 0.5000 0.0000
0.0000 0.0000 0.0000
0.7500 0.2500 0.5000

---

Rb12Cd6Au, optimized geometry, DFT GGA-PBE; space-group type = R-3 (148); spin magnetization = 0.00 μB per formula unit; DFT total energy = -1.079 eV/atom
1.0
7.7931 4.4993 4.7457
-7.7931 4.4993 4.7457
0.0000 -8.9987 4.7457
Rb Cd Au
12 6 1
Direct
0.1339 0.1701 0.4296
0.1701 0.4296 0.1339
0.2057 0.5498 0.7281
0.2719 0.7943 0.4502
0.4296 0.1339 0.1701
0.4502 0.2719 0.7943
0.5498 0.7281 0.2057
0.5704 0.8661 0.8299
0.7281 0.2057 0.5498
0.7943 0.4502 0.2719
0.8299 0.5704 0.8661
0.8661 0.8299 0.5704
0.0548 0.1779 0.7970
0.1779 0.7970 0.0548
0.2030 0.9452 0.8221
0.7970 0.0548 0.1779
0.8221 0.2030 0.9452
0.9452 0.8221 0.2030
0.5000 0.5000 0.5000

---

ZnCrP, optimized geometry, DFT GGA-PBE; space-group type = F-43m (216); spin magnetization = 0.67 μB per formula unit; DFT total energy = -5.289 eV/atom
1.0
0.0000 2.7653 2.7653
2.7653 0.0000 2.7653
2.7653 2.7653 0.0000
Zn Cr P
1 1 1
Direct
0.0000 0.0000 0.0000
0.5000 0.5000 0.5000
0.7500 0.7500 0.7500

---

BeAl2W, optimized geometry, DFT GGA-PBE; space-group type = Cmmm (65); spin magnetization = 0.00 μB per formula unit; DFT total energy = -5.955 eV/atom
1.0
2.6396 -3.9295 0.0000
2.6396 3.9295 0.0000
0.0000 0.0000 2.7408
Be Al W
1 2 1
Direct
0.0000 0.0000 0.0000
0.0000 0.5000 0.5000
0.5000 0.0000 0.5000
0.5000 0.5000 0.0000

---

Tb6Nd, optimized geometry, DFT GGA-PBE; space-group type = Im-3m (229); spin magnetization = 0.00 μB per formula unit; DFT total energy = -3.296 eV/atom
1.0
-4.0255 4.0255 4.0255
4.0255 -4.0255 4.0255
4.0255 4.0255 -4.0255
Tb Nd
6 1
Direct
0.2500 0.5000 0.7500
0.2500 0.7500 0.5000
0.5000 0.2500 0.7500
0.5000 0.7500 0.2500
0.7500 0.2500 0.5000
0.7500 0.5000 0.2500
0.0000 0.0000 0.0000

---

Tb8TcSb2, optimized geometry, DFT GGA-PBE; space-group type = C2/m (12); spin magnetization = 0.00 μB per formula unit; DFT total energy = -5.435 eV/atom
1.0
9.5597 -2.4672 0.0000
9.5597 2.4672 0.0000
-1.6518 0.0000 6.6077
Tb Tc Sb
8 1 2
Direct
0.0152 0.0152 0.2823
0.2175 0.2175 0.8278
0.3549 0.3549 0.4890
0.4092 0.4092 0.0258
0.5908 0.5908 0.9742
0.6451 0.6451 0.5110
0.7825 0.7825 0.1722
0.9848 0.9848 0.7177
0.5000 0.5000 0.5000
0.1805 0.1805 0.2595
0.8195 0.8195 0.7405

---

VCu2Pd5Au2, optimized geometry, DFT GGA-PBE; space-group type = P4/mbm (127); spin magnetization = 1.65 μB per formula unit; DFT total energy = -4.980 eV/atom
1.0
8.9104 0.0000 0.0000
0.0000 8.9104 0.0000
0.0000 0.0000 3.9540
V Cu Pd Au
2 4 10 4
Direct
0.0000 0.0000 0.0000
0.5000 0.5000 0.0000
0.1226 0.3774 0.0000
0.3774 0.8774 0.0000
0.6226 0.1226 0.0000
0.8774 0.6226 0.0000
0.0000 0.5000 0.5000
0.0797 0.1958 0.5000
0.1958 0.9203 0.5000
0.3042 0.4203 0.5000
0.4203 0.6958 0.5000
0.5000 0.0000 0.5000
0.5797 0.3042 0.5000
0.6958 0.5797 0.5000
0.8042 0.0797 0.5000
0.9203 0.8042 0.5000
0.1726 0.6726 0.0000
0.3274 0.1726 0.0000
0.6726 0.8274 0.0000
0.8274 0.3274 0.0000

---

Pr2SmAg6, optimized geometry, DFT GGA-PBE; space-group type = P6/mmm (191); spin magnetization = 0.00 μB per formula unit; DFT total energy = -3.743 eV/atom
1.0
8.3450 0.0000 0.0000
-4.1725 7.2270 0.0000
0.0000 0.0000 3.5862
Pr Sm Ag
2 1 6
Direct
0.3333 0.6667 0.0000
0.6667 0.3333 0.0000
0.0000 0.0000 0.0000
0.0000 0.3320 0.5000
0.0000 0.6680 0.5000
0.3320 0.0000 0.5000
0.3320 0.3320 0.5000
0.6680 0.0000 0.5000
0.6680 0.6680 0.5000

---

Tb3NdP, optimized geometry, DFT GGA-PBE; space-group type = Pm-3m (221); spin magnetization = 0.83 μB per formula unit; DFT total energy = -5.232 eV/atom
1.0
5.4273 0.0000 0.0000
0.0000 5.4273 0.0000
0.0000 0.0000 5.4273
Tb Nd P
3 1 1
Direct
0.0000 0.0000 0.5000
0.0000 0.5000 0.0000
0.5000 0.0000 0.0000
0.5000 0.5000 0.5000
0.0000 0.0000 0.0000

---

CeThPt2, optimized geometry, DFT GGA-PBE; space-group type = P2_1/m (11); spin magnetization = 0.65 μB per formula unit; DFT total energy = -7.526 eV/atom; distance to the lowest polymorph of the same formula = 0 meV/atom
1.0
5.9373 0.0000 0.0000
0.0000 4.4468 0.0000
-2.5658 0.0000 7.3368
Ce Th Pt
2 2 4
Direct
0.2221 0.2500 0.1791
0.7779 0.7500 0.8209
0.2309 0.2500 0.6834
0.7691 0.7500 0.3166
0.3062 0.7500 0.4519
0.3120 0.7500 0.9524
0.6880 0.2500 0.0476
0.6938 0.2500 0.5481

---

SmCuNiP2, optimized geometry, DFT GGA-PBE; space-group type = I-4m2 (119); spin magnetization = 0.00 μB per formula unit; DFT total energy = -5.901 eV/atom
1.0
-1.9449 1.9449 5.0931
1.9449 -1.9449 5.0931
1.9449 1.9449 -5.0931
Sm Cu Ni P
1 1 1 2
Direct
0.0000 0.0000 0.0000
0.2500 0.7500 0.5000
0.7500 0.2500 0.5000
0.3743 0.3743 0.0000
0.6257 0.6257 0.0000

---

CdFe3Si, optimized geometry, DFT GGA-PBE; space-group type = Pm-3m (221); spin magnetization = 8.87 μB per formula unit; DFT total energy = -4.584 eV/atom; distance to the lowest polymorph of the same formula = 1228 meV/atom
1.0
4.7290 0.0000 0.0000
0.0000 4.7290 0.0000
0.0000 0.0000 4.7290
Cd Fe Si
1 3 1
Direct
0.0000 0.0000 0.0000
0.0000 0.0000 0.5000
0.0000 0.5000 0.0000
0.5000 0.0000 0.0000
0.5000 0.5000 0.5000

---

Tm3SiBi, optimized geometry, DFT GGA-PBE; space-group type = C2/c (15); spin magnetization = 0.00 μB per formula unit; DFT total energy = -4.984 eV/atom
1.0
6.4057 -3.5488 0.0000
6.4057 3.5488 0.0000
-3.4981 0.0000 12.6076
Tm Si Bi
12 4 4
Direct
0.1031 0.2128 0.8174
0.1373 0.7229 0.9301
0.2128 0.1031 0.3174
0.2616 0.3998 0.6143
0.2771 0.8627 0.5699
0.3998 0.2616 0.1143
0.6002 0.7384 0.8857
0.7229 0.1373 0.4301
0.7384 0.6002 0.3857
0.7872 0.8969 0.6826
0.8627 0.2771 0.0699
0.8969 0.7872 0.1826
0.0000 0.5000 0.0000
0.2213 0.7787 0.7500
0.5000 0.0000 0.5000
0.7787 0.2213 0.2500
0.2082 0.5549 0.3755
0.4451 0.7918 0.1245
0.5549 0.2082 0.8755
0.7918 0.4451 0.6245